(1)
# Zr2TiInB

A geometry-optimized Zr2TiInB structure (PBE, Alexandria via LeMat-Bulk).

The calculated formation energy is -38.1 kJ/mol of atoms. For the total moment, the calculation gives 0.00 μB per formula unit. As for the crystal system: tetragonal.

```
Zr2TiInB
1.0
4.657 0.000 0.000
0.000 4.657 0.000
0.000 0.000 4.392
Ti Zr In B
1 2 1 1
Direct
0.000 0.000 0.500
0.000 0.500 0.000
0.500 0.000 0.000
0.500 0.500 0.500
0.000 0.000 0.000
```



(2)
# TlInB3

A geometry-optimized TlInB3 structure (PBE, Alexandria via LeMat-Bulk).

The calculated formation energy is 222.3 kJ/mol of atoms. For the total moment, the calculation gives 0.00 μB per formula unit. The value obtained for the offset from the most stable computed form is 1.09 eV per formula unit. As for the crystal system: cubic.

```
TlInB3
1.0
4.644 0.000 0.000
0.000 4.644 0.000
0.000 0.000 4.644
In B Tl
1 3 1
Direct
0.500 0.500 0.500
0.000 0.500 0.000
0.500 0.000 0.000
0.000 0.000 0.500
0.000 0.000 0.000
```



calculated formation energy of number 1 (Zr2TiInB)?
-38.1 kJ/mol of atoms



Please write out number 2 again, unchanged.
# TlInB3

A geometry-optimized TlInB3 structure (PBE, Alexandria via LeMat-Bulk).

The calculated formation energy is 222.3 kJ/mol of atoms. For the total moment, the calculation gives 0.00 μB per formula unit. The value obtained for the offset from the most stable computed form is 1.09 eV per formula unit. As for the crystal system: cubic.

```
TlInB3
1.0
4.644 0.000 0.000
0.000 4.644 0.000
0.000 0.000 4.644
In B Tl
1 3 1
Direct
0.500 0.500 0.500
0.000 0.500 0.000
0.500 0.000 0.000
0.000 0.000 0.500
0.000 0.000 0.000
```